No. 1
{
  "formula": "Tc2GeOs",
  "functional": "GGA-PBE",
  "state": "optimized geometry",
  "space_group": "I-42d",
  "ef_ev_per_atom": 1.026,
  "cell": [[-2.8576, 2.8576, 5.2834], [2.8576, -2.8576, 5.2834], [2.8576, 2.8576, -5.2834]],
  "species": ["Tc", "Tc", "Tc", "Tc", "Ge", "Ge", "Os", "Os"],
  "frac_coords": [[0.1163, 0.6250, 0.9913], [0.3750, 0.3663, 0.4913], [0.6337, 0.1250, 0.0087], [0.8750, 0.8837, 0.5087], [0.2500, 0.7500, 0.5000], [0.5000, 0.5000, 0.0000], [0.0000, 0.0000, 0.0000], [0.7500, 0.2500, 0.5000]]
}

=====

No. 2
{
  "formula": "NaSr2CaSi",
  "functional": "GGA-PBE",
  "state": "optimized geometry",
  "formation_energy_uncorrected_ev_per_fu": -0.61,
  "space_group": "P4/mmm",
  "cell": [[6.1778, 0.0000, 0.0000], [0.0000, 6.1778, 0.0000], [0.0000, 0.0000, 5.7985]],
  "species": ["Na", "Sr", "Sr", "Ca", "Si"],
  "frac_coords": [[0.0000, 0.0000, 0.0000], [0.0000, 0.5000, 0.5000], [0.5000, 0.0000, 0.5000], [0.5000, 0.5000, 0.0000], [0.5000, 0.5000, 0.5000]]
}

=====

No. 3
{
  "formula": "Rb2ClO2",
  "functional": "GGA-PBE",
  "state": "optimized geometry",
  "formation_energy_uncorrected_ev_per_fu": -6.12,
  "space_group": "I4/mmm",
  "cell": [[-2.7388, 2.7388, 4.1124], [2.7388, -2.7388, 4.1124], [2.7388, 2.7388, -4.1124]],
  "species": ["Rb", "Rb", "Cl", "O", "O"],
  "frac_coords": [[0.2500, 0.7500, 0.5000], [0.7500, 0.2500, 0.5000], [0.0000, 0.0000, 0.0000], [0.4175, 0.4175, 0.0000], [0.5825, 0.5825, 0.0000]]
}

=====

No. 4
{
  "formula": "Sm4Tm3",
  "functional": "GGA-PBE",
  "state": "optimized geometry",
  "space_group": "Immm",
  "ef_ev_per_atom": 0.020,
  "cell": [[-1.7853, 2.5163, 12.4997], [1.7853, -2.5163, 12.4997], [1.7853, 2.5163, -12.4997]],
  "species": ["Sm", "Sm", "Sm", "Sm", "Tm", "Tm", "Tm"],
  "frac_coords": [[0.0708, 0.0708, 0.0000], [0.2134, 0.2134, 0.0000], [0.7866, 0.7866, 0.0000], [0.9292, 0.9292, 0.0000], [0.3576, 0.3576, 0.0000], [0.5000, 0.5000, 0.0000], [0.6424, 0.6424, 0.0000]]
}

=====

no.,DFT total energy (eV/atom),spin magnetization (μB per atom)
1,-8.119,0.000
2,-2.543,0.000
3,-3.963,0.200
4,-4.593,0.000